Material: KCu2Ir
Method: DFT, PBE
State: relaxed

a b c (Å): 4.6961 4.6961 6.7482
angles (deg): 82.65 82.65 32.85
With the nearest neighbours (Å) after each atom.
Positions (direct):
Cu 0.0277 0.0277 0.9122  2 Ir 2.51, 4 Cu 2.55-2.66
Cu 0.7429 0.7429 0.7227  3 Ir 2.54-2.59, 4 Cu 2.55-2.66
K 0.2502 0.2502 0.2539  2 K 2.66
Ir 0.4791 0.4791 0.6111  5 Cu 2.51-2.59, 2 Ir 2.66

DFT formation energy: 0.477 eV/atom
Final energy: -4.061 eV/atom
Space-group type: Cm (8)